No. 1
Below is a geometry-optimized AlAs4Se structure, with properties calculated at the PBE level.

Cell lengths 5.6171, 5.6171, 5.6171 Å; angles 60.00, 60.00, 60.00 degrees
With the nearest neighbours (Å) after each atom.
Atoms (fractional coordinates):
1 Se 0.7500 0.7500 0.7500  12 As 3.28, 4 Al 3.44
2 As 0.3816 0.8553 0.3816  6 As 2.66-2.96
3 As 0.3816 0.3816 0.3816  6 As 2.66-2.96
4 As 0.3816 0.3816 0.8553  6 As 2.66-2.96
5 As 0.8553 0.3816 0.3816  6 As 2.66-2.96
6 Al 0.0000 0.0000 0.0000  12 As 3.31, 4 Se 3.44

Computed properties:
- E_form (uncorrected) (meV per atom) = 455
- electronic total energy (eV per cell) = -23.096
- SG = F-43m (216)

***

No. 2
Below is a geometry-optimized AlAs2Se structure, with properties calculated at the PBE level.

Cell lengths 6.3933, 6.3933, 3.7515 Å; angles 100.56, 100.56, 33.28 degrees
With the nearest neighbours (Å) after each atom.
Atoms (fractional coordinates):
1 Se 0.7500 0.7500 0.7500  4 Al 2.62
2 Al 0.2500 0.2500 0.2500  4 Se 2.62, 2 As 2.63
3 As 0.0320 0.0320 0.0641  2 As 2.52, 1 Al 2.63
4 As 0.4680 0.4680 0.4359  2 As 2.52, 1 Al 2.63

Computed properties:
- E_form (uncorrected) (meV per atom) = -201
- offset from the most stable computed form (meV per atom) = 62
- electronic total energy (eV per cell) = -17.331
- SG = C2/m (12)

***

No. 3
Below is a geometry-optimized Al4AsSe structure, with properties calculated at the PBE level.

Cell lengths 5.4211, 5.4211, 5.4211 Å; angles 60.00, 60.00, 60.00 degrees
With the nearest neighbours (Å) after each atom.
Atoms (fractional coordinates):
1 Al 0.3753 0.3753 0.3753  6 Al 2.70-2.72
2 Al 0.8741 0.3753 0.3753  6 Al 2.70-2.72
3 Al 0.3753 0.8741 0.3753  6 Al 2.70-2.72
4 Al 0.3753 0.3753 0.8741  6 Al 2.70-2.72
5 Se 0.0000 0.0000 0.0000  12 Al 3.18, 4 As 3.32
6 As 0.7500 0.7500 0.7500  12 Al 3.18, 4 Se 3.32

Computed properties:
- E_form (uncorrected) (meV per atom) = 271
- electronic total energy (eV per cell) = -21.477
- SG = F-43m (216)

***

No. 4
Below is a geometry-optimized AlAs2Se structure, with properties calculated at the PBE level.

Cell lengths 4.7545, 4.7545, 4.7545 Å; angles 60.00, 60.00, 60.00 degrees
With the nearest neighbours (Å) after each atom.
Atoms (fractional coordinates):
1 Al 0.0000 0.0000 0.0000  8 As 2.91
2 Se 0.5000 0.5000 0.5000  8 As 2.91
3 As 0.2500 0.2500 0.2500  4 Se 2.91, 4 Al 2.91
4 As 0.7500 0.7500 0.7500  4 Al 2.91, 4 Se 2.91

Computed properties:
- E_form (uncorrected) (meV per atom) = 379
- offset from the most stable computed form (meV per atom) = 642
- electronic total energy (eV per cell) = -15.012
- SG = Fm-3m (225)

***

No. 5
Below is a geometry-optimized AlAs2Se structure, with properties calculated at the PBE level.

Cell lengths 8.2033, 8.2033, 8.2033 Å; angles 26.04, 26.04, 26.04 degrees
With the nearest neighbours (Å) after each atom.
Atoms (fractional coordinates):
1 As 0.2750 0.2750 0.2750  3 As 2.56
2 As 0.0010 0.0010 0.0010  3 As 2.56
3 Se 0.4712 0.4712 0.4712  3 Al 2.46
4 Al 0.7527 0.7527 0.7527  3 Se 2.46

Computed properties:
- E_form (uncorrected) (meV per atom) = -263
- offset from the most stable computed form (meV per atom) = 0
- electronic total energy (eV per cell) = -17.579
- SG = R3m (160)

***

No. 6
Below is a geometry-optimized AlAsSe structure, with properties calculated at the PBE level.

Cell lengths 5.6771, 5.6771, 5.6771 Å; angles 143.79, 143.79, 52.15 degrees
With the nearest neighbours (Å) after each atom.
Atoms (fractional coordinates):
1 As 0.3799 0.3799 0.0000  1 Se 2.52, 4 Al 2.75
2 Se 0.6271 0.6271 0.0000  1 As 2.52
3 Al 0.9931 0.9931 0.0000  4 As 2.75, 4 Se 2.84

Computed properties:
- E_form (uncorrected) (meV per atom) = 27
- electronic total energy (eV per cell) = -11.796
- SG = I4mm (107)